## PmNd4Y2Tm2 (PBE)

Data for a relaxed PmNd4Y2Tm2 crystal.

Calculated values
The crystal system is monoclinic. The space group is C2/m.

```
PmNd4Y2Tm2
1.0
3.617 0.000 0.000
-1.809 9.220 1.608
0.000 -1.513 8.722
Tm Y Nd Pm
2 2 4 1
Cartesian
0.000 6.121 1.071
1.809 1.586 9.259
1.809 6.661 4.115
0.000 1.046 6.215
1.809 0.527 3.071
0.000 3.598 3.595
0.000 7.180 7.259
1.809 4.109 6.735
0.000 0.000 0.000
```


## CrRe2AgB (PBE)

Data for a relaxed CrRe2AgB crystal.

Calculated values
The crystal system is tetragonal. The space group is P4/mmm.

```
CrRe2AgB
1.0
-1.138 1.114 -3.830
-3.894 -1.393 0.752
-1.070 3.752 1.409
Cr B Re Ag
1 1 2 1
Cartesian
-3.051 1.736 -0.835
0.000 0.000 0.000
-0.535 1.876 0.704
-0.569 0.557 -1.915
-1.947 -0.696 0.376
```


## SmAlCu (PBE)

Data for a relaxed SmAlCu crystal.

Calculated values
The crystal system is hexagonal. The space group is P-6m2.

```
SmAlCu
1.0
-1.418 3.200 1.260
-3.894 -2.005 0.708
3.062 0.094 3.209
Al Cu Sm
1 1 1
Cartesian
0.507 -0.072 2.585
-0.236 0.533 0.210
-2.521 0.828 2.381
```


## CeTa2OsC4 (PBE)

Data for a relaxed CeTa2OsC4 crystal.

Calculated values
The crystal system is orthorhombic. The space group is Cmcm.

```
CeTa2OsC4
1.0
3.301 0.000 0.000
-1.651 5.690 0.000
0.000 0.000 11.102
C Os Ta Ce
8 2 4 2
Cartesian
0.000 0.000 0.000
0.000 4.942 8.327
0.000 0.000 5.551
0.000 3.036 4.311
1.651 2.654 9.862
0.000 3.036 1.241
1.651 0.748 2.776
1.651 2.654 6.792
0.000 1.842 2.776
1.651 3.848 8.327
0.000 4.243 5.991
0.000 4.243 10.662
1.651 1.447 5.111
1.651 1.447 0.440
1.651 4.552 2.776
0.000 1.138 8.327
```


Per-record DOS at the Fermi energy, states/eV per atom: 1.404, 0.941, 1.356, 0.515
Per-record total moment, Bohr magnetons per cell: 0.00, 2.24, 0.00, 0.00
Per-record formation energy, eV per formula unit: 0.168, 3.449, -1.028, -1.602